# TcP2Au

A relaxed TcP2Au crystal (GGA-PBE, the Alexandria database).

It has space group I-4m2 (No. 119), with a = 3.6650 Å, b = 3.6650 Å, c = 9.0213 Å, α = 90.00°, β = 90.00° and γ = 90.00°. The asymmetric unit holds Tc at (0.0000, 0.0000, 0.0000), P at (0.0000, 0.0000, 0.5000), P at (0.0000, 0.5000, 0.2500) and Au at (0.0000, 0.5000, 0.7500).

Its crystal system is tetragonal. The energy relative to the elements comes out at 429 meV per atom. Its final energy is -45.491 eV/cell.

# Ba8SbPt3I4

A relaxed Ba8SbPt3I4 crystal (GGA-PBE, the Alexandria database).

It has space group R-3m (No. 166, hexagonal axes), with a = 9.5327 Å, b = 9.5327 Å, c = 25.8499 Å, α = 90.00°, β = 90.00° and γ = 120.00°. The asymmetric unit holds Ba at (0.0000, 0.0000, 0.2357), Ba at (0.0163, 0.5082, 0.7660), Sb at (0.0000, 0.0000, 0.5000), Pt at (0.0000, 0.5000, 0.5000), I at (0.0000, 0.0000, 0.0000) and I at (0.0000, 0.5000, 0.0000).

Its crystal system is trigonal. Its energy relative to the elements, uncorrected is -1.181 eV per atom. Its final energy is -188.174 eV/cell.

# La2Pr7In2

A relaxed La2Pr7In2 crystal (GGA-PBE, the Alexandria database).

It has space group C2/m (No. 12), with a = 9.1045 Å, b = 9.5002 Å, c = 8.9043 Å, α = 90.00°, β = 104.55° and γ = 90.00°. The asymmetric unit holds La at (0.1057, 0.0000, 0.3468), Pr at (0.0000, 0.5000, 0.5000), Pr at (0.1654, 0.5000, 0.9288), Pr at (0.2382, 0.1892, 0.7126) and In at (0.0000, 0.1785, 0.0000).

Its crystal system is monoclinic. The energy relative to the elements comes out at -135 meV per atom. Its final energy is -100.547 eV/cell.

# TaCrAgOs2

A relaxed TaCrAgOs2 crystal (GGA-PBE, the Alexandria database).

It has space group P4/mmm (No. 123), with a = 4.7104 Å, b = 4.7104 Å, c = 4.9810 Å, α = 90.00°, β = 90.00° and γ = 90.00°. The asymmetric unit holds Ta at (0.0000, 0.0000, 0.0000), Cr at (0.5000, 0.5000, 0.5000), Ag at (0.0000, 0.0000, 0.5000) and Os at (0.0000, 0.5000, 0.0000).

Its crystal system is tetragonal. The energy relative to the elements comes out at 2360 meV per atom. Its final energy is -34.985 eV/cell.

# SbTeCI2

A relaxed SbTeCI2 crystal (GGA-PBE, the Alexandria database).

It has space group P4/mmm (No. 123), with a = 5.0840 Å, b = 5.0840 Å, c = 4.9585 Å, α = 90.00°, β = 90.00° and γ = 90.00°. The asymmetric unit holds Sb at (0.0000, 0.0000, 0.0000), Te at (0.5000, 0.5000, 0.0000), C at (0.0000, 0.0000, 0.5000) and I at (0.0000, 0.5000, 0.5000).

Its crystal system is tetragonal. Its energy relative to the elements, uncorrected is 1.125 eV per atom. Its final energy is -13.962 eV/cell.

# BaMg4Se

A relaxed BaMg4Se crystal (GGA-PBE, the Alexandria database).

It has space group F-43m (No. 216), with a = 8.8159 Å, b = 8.8159 Å, c = 8.8159 Å, α = 90.00°, β = 90.00° and γ = 90.00°. The asymmetric unit holds Ba at (0.0000, 0.0000, 0.0000), Mg at (0.1239, 0.1239, 0.6239) and Se at (0.2500, 0.2500, 0.2500).

Its crystal system is cubic. Its energy relative to the elements, uncorrected is -0.095 eV per atom. Its final energy is -49.421 eV/cell.

# Pu3Sb4Rh4

A relaxed Pu3Sb4Rh4 crystal (GGA-PBE, the Alexandria database).

It has space group Immm (No. 71), with a = 4.0476 Å, b = 4.2985 Å, c = 28.3409 Å, α = 90.00°, β = 90.00° and γ = 90.00°. The asymmetric unit holds Pu at (0.0000, 0.0000, 0.0000), Pu at (0.0000, 0.5000, 0.1412), Sb at (0.0000, 0.0000, 0.4484), Sb at (0.0000, 0.5000, 0.3052), Rh at (0.0000, 0.0000, 0.2518) and Rh at (0.0000, 0.5000, 0.3960).

Its crystal system is orthorhombic. Its energy relative to the elements, uncorrected is -0.561 eV per atom. Its final energy is -190.121 eV/cell.

# Li2HoIn9

A relaxed Li2HoIn9 crystal (GGA-PBE, the Alexandria database).

It has space group P4/mmm (No. 123), with a = 4.5536 Å, b = 4.5536 Å, c = 13.9373 Å, α = 90.00°, β = 90.00° and γ = 90.00°. The asymmetric unit holds Li at (0.0000, 0.0000, 0.1725), Ho at (0.0000, 0.0000, 0.5000), In at (0.0000, 0.5000, 0.0000), In at (0.0000, 0.5000, 0.3276), In at (0.5000, 0.5000, 0.1669) and In at (0.5000, 0.5000, 0.5000).

Its crystal system is tetragonal. The energy relative to the elements comes out at -205 meV per atom. Its final energy is -35.506 eV/cell.

Look up the final energy of the fourth one. -34.985 eV/cell

Which formula does entry 8 have? Li2HoIn9

Which value of final energy does entry 5 give? -13.962 eV/cell

Which formula does entry 6 have? BaMg4Se